1.
First-principles (GGA-PBEsol) data for crystalline LiScGa2As at its relaxed geometry, as listed in the Alexandria database.

crystal system: tetragonal
M_tot: 0.00 μB per formula unit
E_form: 0.15 eV/atom

extended XYZ file:
```
5
Lattice="4.988 0.000 0.000 0.000 4.988 0.000 0.000 0.000 4.949" Properties=species:S:1:pos:R:3 pbc="T T T"
Li 0.000 0.000 0.000
Sc 2.494 2.494 0.000
Ga 0.000 2.494 2.475
Ga 2.494 0.000 2.475
As 2.494 2.494 2.475
```

=====

2.
First-principles (GGA-PBEsol) data for crystalline ScTl2Pb at its relaxed geometry, as listed in the Alexandria database.

crystal system: orthorhombic
M_tot: 0.00 μB per formula unit
E_form: -0.14 eV/atom

extended XYZ file:
```
4
Lattice="-1.767 2.628 5.424 1.767 -2.628 5.424 1.767 2.628 -5.424" Properties=species:S:1:pos:R:3 pbc="T T T"
Sc 0.000 0.000 0.000
Tl 1.767 0.000 2.577
Tl 0.000 2.628 2.848
Pb 0.000 0.000 5.424
```

=====

3.
First-principles (GGA-PBEsol) data for crystalline KBaV2CuClO7 at its relaxed geometry, as listed in the Alexandria database.

crystal system: orthorhombic
formation energy without anion corrections: -2.1786 eV per atom
M_tot: 1.00 μB per formula unit

extended XYZ file:
```
26
Lattice="6.199 -6.303 0.000 6.199 6.303 0.000 0.000 0.000 5.462" Properties=species:S:1:pos:R:3 pbc="T T T"
K 2.140 0.000 0.000
K 10.258 0.000 0.000
Ba 6.199 2.209 0.016
Ba 6.199 -2.209 0.016
V 6.199 4.622 2.542
V 4.549 0.000 2.550
V 7.849 0.000 2.550
V 6.199 -4.622 2.542
Cu 3.100 3.152 2.113
Cu 3.100 -3.152 2.113
Cl 3.100 3.152 4.666
Cl 3.100 -3.152 4.666
O 0.000 0.000 1.911
O 4.875 3.804 1.863
O 6.199 4.582 4.205
O 3.786 1.368 1.920
O 7.523 3.804 1.863
O 4.715 0.000 4.217
O 3.786 -1.368 1.920
O 6.199 0.000 1.781
O 8.612 1.368 1.920
O 7.683 0.000 4.217
O 4.875 -3.804 1.863
O 8.612 -1.368 1.920
O 6.199 -4.582 4.205
O 7.523 -3.804 1.863
```

=====

4.
First-principles (GGA-PBEsol) data for crystalline LaBe4Pt at its relaxed geometry, as listed in the Alexandria database.

crystal system: cubic
M_tot: 0.00 μB per formula unit
E_form: 0.02 eV/atom

extended XYZ file:
```
6
Lattice="0.000 3.431 3.431 3.431 0.000 3.431 3.431 3.431 0.000" Properties=species:S:1:pos:R:3 pbc="T T T"
La 0.000 0.000 0.000
Be 4.240 2.622 2.622
Be 2.622 4.240 2.622
Be 2.622 2.622 4.240
Be 4.240 4.240 4.240
Pt 1.716 1.716 1.716
```

=====

5.
First-principles (GGA-PBEsol) data for crystalline PrGaSi at its relaxed geometry, as listed in the Alexandria database.

crystal system: tetragonal
formation energy without anion corrections: -0.7729 eV per atom
M_tot: 0.00 μB per formula unit

extended XYZ file:
```
6
Lattice="-2.091 2.091 7.128 2.091 -2.091 7.128 2.091 2.091 -7.128" Properties=species:S:1:pos:R:3 pbc="T T T"
Pr 0.000 0.000 0.000
Pr 0.000 2.091 3.564
Ga 2.091 0.000 2.374
Ga 0.000 0.000 5.938
Si 2.091 0.000 4.748
Si 0.000 0.000 8.312
```

=====

6.
First-principles (GGA-PBEsol) data for crystalline ZnInNi2 at its relaxed geometry, as listed in the Alexandria database.

crystal system: tetragonal
M_tot: 0.00 μB per formula unit
E_form: -0.17 eV/atom

extended XYZ file:
```
4
Lattice="3.000 0.000 0.000 0.000 3.000 0.000 0.000 0.000 5.865" Properties=species:S:1:pos:R:3 pbc="T T T"
Zn 0.000 0.000 0.000
In 0.000 0.000 2.932
Ni 1.500 1.500 1.320
Ni 1.500 1.500 4.545
```

=====

7.
First-principles (GGA-PBEsol) data for crystalline SrMg2Ni at its relaxed geometry, as listed in the Alexandria database.

crystal system: tetragonal
M_tot: 0.00 μB per formula unit
E_form: 0.06 eV/atom

extended XYZ file:
```
4
Lattice="3.273 0.000 0.000 0.000 3.273 0.000 0.000 0.000 8.239" Properties=species:S:1:pos:R:3 pbc="T T T"
Sr 0.000 0.000 0.000
Mg 1.636 1.636 2.721
Mg 1.636 1.636 5.518
Ni 0.000 0.000 4.119
```

=====

8.
First-principles (GGA-PBEsol) data for crystalline ScTc3Te at its relaxed geometry, as listed in the Alexandria database.

crystal system: cubic
formation energy without anion corrections: 1.3471 eV per atom
M_tot: 1.46 μB per formula unit

extended XYZ file:
```
5
Lattice="4.743 0.000 0.000 0.000 4.743 0.000 0.000 0.000 4.743" Properties=species:S:1:pos:R:3 pbc="T T T"
Sc 0.000 0.000 0.000
Tc 0.000 2.371 2.371
Tc 2.371 0.000 2.371
Tc 2.371 2.371 0.000
Te 2.371 2.371 2.371
```

=====

9.
First-principles (GGA-PBEsol) data for crystalline AsOsW at its relaxed geometry, as listed in the Alexandria database.

offset from the most stable computed form: 0.0000 eV per atom
crystal system: cubic
M_tot: 0.00 μB per formula unit
E_form: 0.51 eV/atom

extended XYZ file:
```
3
Lattice="0.000 2.965 2.965 2.965 0.000 2.965 2.965 2.965 0.000" Properties=species:S:1:pos:R:3 pbc="T T T"
As 0.000 0.000 0.000
Os 2.965 2.965 2.965
W 4.448 4.448 4.448
```

=====

10.
First-principles (GGA-PBEsol) data for crystalline MgZrSe at its relaxed geometry, as listed in the Alexandria database.

offset from the most stable computed form: 0.0000 eV per atom
crystal system: tetragonal
formation energy without anion corrections: -0.6722 eV per atom
M_tot: 0.00 μB per formula unit

extended XYZ file:
```
3
Lattice="-1.687 1.687 5.467 1.687 -1.687 5.467 1.687 1.687 -5.467" Properties=species:S:1:pos:R:3 pbc="T T T"
Mg 0.000 0.000 0.000
Zr 0.000 0.000 7.628
Se 0.000 0.000 3.474
```

=====

11.
First-principles (GGA-PBEsol) data for crystalline Mn3TeBr at its relaxed geometry, as listed in the Alexandria database.

offset from the most stable computed form: 0.0000 eV per atom
crystal system: cubic
formation energy without anion corrections: 0.9774 eV per atom
M_tot: 12.01 μB per formula unit

extended XYZ file:
```
5
Lattice="4.706 0.000 0.000 0.000 4.706 0.000 0.000 0.000 4.706" Properties=species:S:1:pos:R:3 pbc="T T T"
Mn 0.000 0.000 2.353
Mn 0.000 2.353 0.000
Mn 2.353 0.000 0.000
Te 2.353 2.353 2.353
Br 0.000 0.000 0.000
```

=====

12.
First-principles (GGA-PBEsol) data for crystalline BaTi2As2 at its relaxed geometry, as listed in the Alexandria database.

crystal system: tetragonal
M_tot: 0.00 μB per formula unit
E_form: -0.92 eV/atom

extended XYZ file:
```
5
Lattice="-2.050 2.050 6.747 2.050 -2.050 6.747 2.050 2.050 -6.747" Properties=species:S:1:pos:R:3 pbc="T T T"
Ba 0.000 0.000 0.000
Ti 2.050 0.000 3.373
Ti 0.000 2.050 3.373
As 0.000 0.000 4.914
As 0.000 0.000 8.579
```

=====

13.
First-principles (GGA-PBEsol) data for crystalline ZrCdHg2 at its relaxed geometry, as listed in the Alexandria database.

crystal system: cubic
M_tot: 0.00 μB per formula unit
E_form: 0.00 eV/atom

extended XYZ file:
```
4
Lattice="0.000 3.447 3.447 3.447 0.000 3.447 3.447 3.447 0.000" Properties=species:S:1:pos:R:3 pbc="T T T"
Zr 0.000 0.000 0.000
Cd 1.723 1.723 1.723
Hg 3.447 3.447 3.447
Hg 5.170 5.170 5.170
```

=====

14.
First-principles (GGA-PBEsol) data for crystalline SrGa2Ge2 at its relaxed geometry, as listed in the Alexandria database.

crystal system: tetragonal
M_tot: 0.00 μB per formula unit
E_form: -0.33 eV/atom

extended XYZ file:
```
5
Lattice="-2.221 2.221 5.502 2.221 -2.221 5.502 2.221 2.221 -5.502" Properties=species:S:1:pos:R:3 pbc="T T T"
Sr 0.000 0.000 0.000
Ga 2.221 0.000 2.751
Ga 0.000 2.221 2.751
Ge 0.000 0.000 4.156
Ge 0.000 0.000 6.848
```

=====

15.
First-principles (GGA-PBEsol) data for crystalline NbPdWSe2 at its relaxed geometry, as listed in the Alexandria database.

crystal system: tetragonal
formation energy without anion corrections: 0.9382 eV per atom
M_tot: 2.89 μB per formula unit

extended XYZ file:
```
5
Lattice="4.753 0.000 0.000 0.000 4.753 0.000 0.000 0.000 4.837" Properties=species:S:1:pos:R:3 pbc="T T T"
Nb 0.000 0.000 0.000
Pd 2.377 2.377 0.000
W 2.377 2.377 2.419
Se 0.000 2.377 2.419
Se 2.377 0.000 2.419
```

=====

16.
First-principles (GGA-PBEsol) data for crystalline BePt3Br at its relaxed geometry, as listed in the Alexandria database.

crystal system: cubic
formation energy without anion corrections: 0.5078 eV per atom
M_tot: 0.00 μB per formula unit

extended XYZ file:
```
5
Lattice="4.285 0.000 0.000 0.000 4.285 0.000 0.000 0.000 4.285" Properties=species:S:1:pos:R:3 pbc="T T T"
Be 0.000 0.000 0.000
Pt 0.000 0.000 2.143
Pt 0.000 2.143 0.000
Pt 2.143 0.000 0.000
Br 2.143 2.143 2.143
```

=====

17.
First-principles (GGA-PBEsol) data for crystalline Cs2AsAuCl6 at its relaxed geometry, as listed in the Alexandria database.

crystal system: cubic
formation energy without anion corrections: -1.1061 eV per atom
M_tot: 0.00 μB per formula unit

extended XYZ file:
```
10
Lattice="0.000 5.134 5.134 5.134 0.000 5.134 5.134 5.134 0.000" Properties=species:S:1:pos:R:3 pbc="T T T"
Cs 2.567 2.567 2.567
Cs 7.701 7.701 7.701
As 0.000 0.000 0.000
Au 5.134 5.134 5.134
Cl 5.134 5.134 2.506
Cl 5.134 2.506 5.134
Cl 7.762 5.134 5.134
Cl 2.506 5.134 5.134
Cl 5.134 7.762 5.134
Cl 5.134 5.134 7.762
```

=====

18.
First-principles (GGA-PBEsol) data for crystalline TaIn2Au at its relaxed geometry, as listed in the Alexandria database.

offset from the most stable computed form: 0.0000 eV per atom
crystal system: monoclinic
M_tot: 0.00 μB per formula unit
E_form: 0.03 eV/atom

extended XYZ file:
```
4
Lattice="5.454 -1.490 0.000 5.454 1.490 0.000 -2.044 0.000 4.756" Properties=species:S:1:pos:R:3 pbc="T T T"
Ta 0.000 0.000 0.000
In 4.690 0.000 2.388
In 7.988 0.000 0.434
Au 1.828 0.000 2.863
```

=====

19.
First-principles (GGA-PBEsol) data for crystalline Na2Sn2C3O6F3 at its relaxed geometry, as listed in the Alexandria database.

crystal system: triclinic
formation energy without anion corrections: -1.6739 eV per atom
M_tot: 0.00 μB per formula unit

extended XYZ file:
```
32
Lattice="6.009 0.000 0.000 1.107 8.613 0.000 1.383 3.074 8.464" Properties=species:S:1:pos:R:3 pbc="T T T"
Na 1.329 2.632 1.065
Na 4.062 11.052 7.821
Na 4.437 0.635 0.643
Na 7.170 9.055 7.399
Sn 2.354 5.779 5.731
Sn 2.481 8.509 3.148
Sn 6.018 3.178 5.317
Sn 6.144 5.908 2.733
C 3.272 5.017 1.946
C 4.278 7.762 7.073
C 3.257 2.159 4.108
C 5.242 9.527 4.356
C 4.221 3.925 1.391
C 5.227 6.670 6.519
O 2.037 4.789 1.840
O 3.019 7.516 6.966
O 2.133 1.974 3.536
O 3.811 6.042 2.463
O 4.771 8.784 7.581
O 3.704 3.273 4.476
O 4.794 8.414 3.988
O 3.727 2.902 0.883
O 4.688 5.645 6.002
O 6.366 9.713 4.929
O 5.480 4.171 1.499
O 6.461 6.898 6.624
F 2.505 10.549 6.350
F 2.204 4.685 7.500
F 3.447 8.766 1.327
F 5.051 2.921 7.137
F 6.295 7.002 0.965
F 5.993 1.137 2.114
```

=====

20.
First-principles (GGA-PBEsol) data for crystalline CaPdPb at its relaxed geometry, as listed in the Alexandria database.

crystal system: orthorhombic
M_tot: 0.00 μB per formula unit
E_form: -0.63 eV/atom

extended XYZ file:
```
12
Lattice="7.219 0.000 0.000 0.000 4.662 0.000 0.000 0.000 8.202" Properties=species:S:1:pos:R:3 pbc="T T T"
Ca 0.144 1.165 1.575
Ca 3.465 3.496 5.676
Ca 3.754 1.165 2.526
Ca 7.075 3.496 6.627
Pd 1.595 3.496 3.244
Pd 2.015 1.165 7.346
Pd 5.204 3.496 0.857
Pd 5.625 1.165 4.958
Pb 1.248 1.165 4.708
Pb 2.362 3.496 0.607
Pb 4.858 1.165 7.596
Pb 5.971 3.496 3.494
```

=====

21.
First-principles (GGA-PBEsol) data for crystalline La2YMo at its relaxed geometry, as listed in the Alexandria database.

offset from the most stable computed form: 0.2450 eV per atom
crystal system: monoclinic
M_tot: 0.00 μB per formula unit
E_form: 0.55 eV/atom

extended XYZ file:
```
4
Lattice="3.257 -5.417 0.000 3.257 5.417 0.000 -1.606 0.000 2.865" Properties=species:S:1:pos:R:3 pbc="T T T"
La 1.629 2.709 0.000
La 1.629 -2.709 0.000
Y -0.803 0.000 1.432
Mo 2.454 0.000 1.432
```

=====

22.
First-principles (GGA-PBEsol) data for crystalline BaCaTe2 at its relaxed geometry, as listed in the Alexandria database.

offset from the most stable computed form: 0.3768 eV per atom
crystal system: tetragonal
formation energy without anion corrections: -1.3058 eV per atom
M_tot: 0.00 μB per formula unit

extended XYZ file:
```
4
Lattice="-2.328 2.328 6.390 2.328 -2.328 6.390 2.328 2.328 -6.390" Properties=species:S:1:pos:R:3 pbc="T T T"
Ba 0.000 0.000 0.000
Ca 0.000 2.328 3.195
Te 2.328 0.000 3.195
Te 0.000 0.000 6.390
```

=====

23.
First-principles (GGA-PBEsol) data for crystalline AlZnRh at its relaxed geometry, as listed in the Alexandria database.

offset from the most stable computed form: 0.0000 eV per atom
crystal system: orthorhombic
M_tot: 0.00 μB per formula unit
E_form: -0.58 eV/atom

extended XYZ file:
```
3
Lattice="-1.459 1.670 4.154 1.459 -1.670 4.154 1.459 1.670 -4.154" Properties=species:S:1:pos:R:3 pbc="T T T"
Al 0.000 0.000 0.000
Zn 0.000 0.000 2.680
Rh 0.000 0.000 5.416
```

=====

24.
First-principles (GGA-PBEsol) data for crystalline MnInO3 at its relaxed geometry, as listed in the Alexandria database.

crystal system: hexagonal
formation energy without anion corrections: -1.5992 eV per atom
M_tot: 3.75 μB per formula unit

extended XYZ file:
```
10
Lattice="3.368 0.000 0.000 -1.684 2.916 0.000 0.000 0.000 11.726" Properties=species:S:1:pos:R:3 pbc="T T T"
Mn 0.000 1.944 2.931
Mn 1.684 0.972 8.794
In 0.000 0.000 0.000
In 0.000 0.000 5.863
O 0.000 0.000 2.931
O 0.000 0.000 8.794
O 0.000 1.944 1.019
O 0.000 1.944 4.844
O 1.684 0.972 6.881
O 1.684 0.972 10.707
```

=====

25.
First-principles (GGA-PBEsol) data for crystalline Re2TeMo at its relaxed geometry, as listed in the Alexandria database.

crystal system: orthorhombic
formation energy without anion corrections: 0.7735 eV per atom
M_tot: 0.00 μB per formula unit

extended XYZ file:
```
4
Lattice="1.571 -2.333 0.000 1.571 2.333 0.000 0.000 0.000 9.305" Properties=species:S:1:pos:R:3 pbc="T T T"
Re 0.000 0.000 0.000
Re 1.571 0.000 2.054
Te 0.000 0.000 4.696
Mo 1.571 0.000 7.215
```

=====

26.
First-principles (GGA-PBEsol) data for crystalline Al2BAu at its relaxed geometry, as listed in the Alexandria database.

crystal system: tetragonal
M_tot: 0.00 μB per formula unit
E_form: 0.33 eV/atom

extended XYZ file:
```
8
Lattice="-2.581 2.581 5.508 2.581 -2.581 5.508 2.581 2.581 -5.508" Properties=species:S:1:pos:R:3 pbc="T T T"
Al 3.871 0.836 -1.377
Al 0.836 1.290 1.377
Al -1.290 1.745 4.131
Al 1.745 1.290 6.885
B 0.000 0.000 0.000
B 0.000 2.581 2.754
Au 2.581 0.000 2.754
Au 0.000 0.000 5.508
```